(1)
The following is a SCAN calculation of a PBEsol-optimized structure of CsScCdPb2, from the Alexandria database.

Geometry as CIF:
```
data_CsScCdPb2
_space_group_name_H-M_alt 'P 4/m m m'
_space_group_IT_number 123
_space_group_name_Hall '-P 4 2'
_cell_length_a 5.733
_cell_length_b 5.733
_cell_length_c 5.543
_cell_angle_alpha 90.00
_cell_angle_beta 90.00
_cell_angle_gamma 90.00
loop_
_atom_site_label
_atom_site_fract_x
_atom_site_fract_y
_atom_site_fract_z
Cs1 0.000 0.000 0.000
Sc1 0.500 0.500 0.000
Cd1 0.500 0.500 0.500
Pb1 0.000 0.500 0.500
```

## Properties
formation enthalpy at 0 K	0.292	eV per atom
uncorrected energy	-46.51	eV per atom

(2)
The following is a SCAN calculation of a PBEsol-optimized structure of Ta3As5, from the Alexandria database.

Geometry as CIF:
```
data_Ta3As5
_space_group_name_H-M_alt 'C m m m'
_space_group_IT_number 65
_space_group_name_Hall '-C 2 2'
_cell_length_a 6.949
_cell_length_b 8.171
_cell_length_c 4.683
_cell_angle_alpha 90.00
_cell_angle_beta 90.00
_cell_angle_gamma 90.00
loop_
_atom_site_label
_atom_site_fract_x
_atom_site_fract_y
_atom_site_fract_z
Ta1 0.000 0.000 0.000
Ta2 0.000 0.278 0.500
As1 0.000 0.500 0.000
As2 0.202 0.000 0.500
As3 0.250 0.250 0.000
```

## Properties
formation enthalpy at 0 K	0.016	eV per atom
uncorrected energy	-37.57	eV per atom

(3)
The following is a SCAN calculation of a PBEsol-optimized structure of La2HCl, from the Alexandria database.

Geometry as CIF:
```
data_La2HCl
_space_group_name_H-M_alt 'I -4 2 d'
_space_group_IT_number 122
_space_group_name_Hall 'I -4 2bw'
_cell_length_a 6.991
_cell_length_b 6.991
_cell_length_c 7.048
_cell_angle_alpha 90.00
_cell_angle_beta 90.00
_cell_angle_gamma 90.00
loop_
_atom_site_label
_atom_site_fract_x
_atom_site_fract_y
_atom_site_fract_z
La1 0.187 0.250 0.125
H1 0.000 0.000 0.000
Cl1 0.000 0.000 0.500
```

## Properties
uncorrected energy	-25.32	eV per atom